Material: SmErMnCd
Method: DFT, PBE
State: relaxed

Values from the calculation:
The formation energy comes out at 0.0 eV per formula unit.

The structure in CIF format:
```
data_SmErMnCd
_cell_length_a 7.3417
_cell_length_b 7.3417
_cell_length_c 7.3417
_cell_angle_alpha 90.00
_cell_angle_beta 90.00
_cell_angle_gamma 90.00
_space_group_name_H-M_alt 'F -4 3 m'
_space_group_IT_number 216
_space_group_name_Hall 'F -4 2 3'
loop_
_atom_site_label
_atom_site_type_symbol
_atom_site_fract_x
_atom_site_fract_y
_atom_site_fract_z
Sm1 Sm 0.0000 0.0000 0.0000
Er1 Er 0.0000 0.0000 0.5000
Mn1 Mn 0.2500 0.2500 0.2500
Cd1 Cd 0.2500 0.2500 0.7500
```